A relaxed structure of CaTm4Sn4. Source: the Alexandria database, functional PBE-GGA.

abc: 6.0556 9.9172 9.9172
angles: 90.00 90.00 90.00
Closest atoms and distances in Å follow each position.
Fractional positions:
Sn  0.9085  0.2983  0.8495  1 Sn 2.91, 5 Tm 3.02-3.20
Sn  0.0915  0.8495  0.7017  1 Sn 2.91, 5 Tm 3.02-3.20
Sn  0.5915  0.2017  0.6505  1 Sn 2.91, 5 Tm 3.02-3.20
Sn  0.0915  0.1505  0.2983  1 Sn 2.91, 5 Tm 3.02-3.20
Sn  0.5915  0.7983  0.3495  1 Sn 2.91, 5 Tm 3.02-3.20
Sn  0.9085  0.7017  0.1505  1 Sn 2.91, 5 Tm 3.02-3.20
Sn  0.4085  0.3495  0.2017  1 Sn 2.91, 5 Tm 3.02-3.20
Sn  0.4085  0.6505  0.7983  1 Sn 2.91, 5 Tm 3.02-3.20
Ca  0.5000  0.5000  0.5000  4 Sn 3.36
Ca  0.0000  0.0000  0.0000  4 Sn 3.36
Tm  0.8933  0.3890  0.1402  5 Sn 3.02-3.20
Tm  0.1067  0.1402  0.6110  5 Sn 3.02-3.20
Tm  0.6067  0.8890  0.6402  5 Sn 3.02-3.20
Tm  0.6067  0.1110  0.3598  5 Sn 3.02-3.20
Tm  0.3933  0.6402  0.1110  5 Sn 3.02-3.20
Tm  0.3933  0.3598  0.8890  5 Sn 3.02-3.20
Tm  0.8933  0.6110  0.8598  5 Sn 3.02-3.20
Tm  0.1067  0.8598  0.3890  5 Sn 3.02-3.20

Output
density of states at the Fermi level = 8.28 states/eV per cell
VASP energy = -4.43 eV/atom
V = 33.09 Å³ per atom
ΔH_f (0 K) = -446 meV per atom


A relaxed structure of Co3HCl. Source: the Alexandria database, functional PBE-GGA.

abc: 3.7561 3.7561 3.7561
angles: 90.00 90.00 90.00
Closest atoms and distances in Å follow each position.
Fractional positions:
Co  0.0000  0.0000  0.5000  2 H 1.88
Co  0.0000  0.5000  0.0000  2 H 1.88
Co  0.5000  0.0000  0.0000  2 H 1.88
Cl  0.5000  0.5000  0.5000  12 Co 2.66
H  0.0000  0.0000  0.0000  6 Co 1.88

Output
density of states at the Fermi level = 5.05 states/eV per cell
VASP energy = -4.73 eV/atom
V = 10.60 Å³ per atom


A relaxed structure of Mg2TaAs. Source: the Alexandria database, functional PBE-GGA.

abc: 5.2117 5.2117 5.2117
angles: 134.42 134.44 66.41
Closest atoms and distances in Å follow each position.
Fractional positions:
Mg  0.7501  0.2501  0.5000  4 As 2.85, 4 Ta 2.97, 4 Mg 2.97
Mg  0.0000  0.0000  0.0000  4 Ta 2.85, 4 As 2.97, 4 Mg 2.97
As  0.2499  0.7499  0.5000  8 Mg 2.85-2.97, 4 Ta 2.97
Ta  0.5000  0.5000  0.0000  8 Mg 2.85-2.97, 4 As 2.97

Output
density of states at the Fermi level = 1.17 states/eV per cell
VASP energy = -4.89 eV/atom
V = 17.76 Å³ per atom
ΔH_f (0 K) = 32 meV per atom


A relaxed structure of ZnCuP2. Source: the Alexandria database, functional PBE-GGA.

abc: 2.5818 2.5818 9.3091
angles: 90.00 90.00 90.00
Closest atoms and distances in Å follow each position.
Fractional positions:
P  0.0000  0.0000  0.5478  4 P 2.58, 4 Cu 2.62
P  0.0000  0.0000  0.9522  4 P 2.58, 4 Cu 2.62
Zn  0.5000  0.5000  0.2500  4 Zn 2.58
Cu  0.5000  0.5000  0.7500  4 Cu 2.58, 8 P 2.62

Output
density of states at the Fermi level = 1.36 states/eV per cell
VASP energy = -3.69 eV/atom
V = 15.51 Å³ per atom
ΔH_f (0 K) = 355 meV per atom